Computed, not measured: crystalline Zr2TlAg at its relaxed geometry at the GGA-PBE level of DFT.

## Properties
uncorrected energy: -22.537 eV/f.u.

Cell lengths 5.348, 5.348, 5.348 Å; angles 130.77, 130.77, 72.17 degrees
Element x y z (fractional)
Zr1 0.250 0.750 0.500
Zr2 0.750 0.250 0.500
Tl1 0.000 0.000 0.000
Ag1 0.500 0.500 0.000


Computed, not measured: crystalline ZrTlAg at its relaxed geometry at the GGA-PBE level of DFT.

## Properties
uncorrected energy: -13.711 eV/f.u.

Cell lengths 4.836, 4.836, 3.169 Å; angles 90.00, 90.00, 120.00 degrees
Element x y z (fractional)
Zr1 0.000 0.000 0.000
Tl1 0.667 0.333 0.500
Ag1 0.333 0.667 0.500


Computed, not measured: crystalline Zr4Tl3Ag at its relaxed geometry at the GGA-PBE level of DFT.

## Properties
uncorrected energy: -44.643 eV/f.u.

Cell lengths 9.251, 9.251, 9.251 Å; angles 151.75, 151.75, 40.37 degrees
Element x y z (fractional)
Zr1 0.123 0.623 0.500
Zr2 0.377 0.877 0.500
Zr3 0.623 0.123 0.500
Zr4 0.877 0.377 0.500
Tl1 0.000 0.000 0.000
Tl2 0.250 0.250 0.000
Tl3 0.750 0.750 0.000
Ag1 0.500 0.500 0.000